Below is an optimized crystal structure of Ac3Cu2MoO9, with properties calculated at the PBE with a Hubbard U level.

a = 5.6604 Å, b = 5.6604 Å, c = 7.0752 Å
α = 90.00°, β = 90.00°, γ = 120.00°
Space group P-3m1 (No. 164)
One atom of each set of equivalent atoms:
Ac (0.0000, 0.0000, 0.0000) (multiplicity 1)
Ac (0.3333, 0.6667, 0.6936) (multiplicity 2)
Cu (0.3333, 0.6667, 0.1632) (multiplicity 2)
Mo (0.0000, 0.0000, 0.5000) (multiplicity 1)
O (0.0000, 0.5000, 0.0000) (multiplicity 3)
O (0.1635, 0.3270, 0.3273) (multiplicity 6)

## Properties
- final energy (eV per cell) = -105.02